(1)
Compound: Tb3Pr2HoS6
Source: Alexandria via LeMat-Bulk
Functional: PBE
Structure: optimized geometry

a b c (Å): 17.3415 3.9610 8.0181
angles (deg): 90.00 103.51 90.00
Closest atoms and distances in Å follow each position.
Space group C2/m (No. 12)
Asymmetric unit:
1 Tb 0.0000 0.0000 0.0000 (multiplicity 2)  6 S 2.74-2.84
2 Tb 0.1694 0.5000 0.3335 (multiplicity 4)  6 S 2.75-2.81
3 Pr 0.1676 0.5000 0.8357 (multiplicity 4)  6 S 2.87-2.90
4 Ho 0.0000 0.0000 0.5000 (multiplicity 2)  6 S 2.77-2.80
5 S 0.0043 0.5000 0.2556 (multiplicity 4)  3 Tb 2.78-2.84, 2 Ho 2.80, 1 Pr 2.90
6 S 0.1625 0.0000 0.0928 (multiplicity 4)  3 Tb 2.74-2.75, 3 Pr 2.87-2.88
7 S 0.1643 0.0000 0.5714 (multiplicity 4)  3 Tb 2.77-2.81, 1 Ho 2.77, 2 Pr 2.89

Calculated values
- D(E_F): 5.1 states/eV/f.u.
- Raw formation energy: -2.00 eV per atom

(2)
Compound: CeAgBr5
Source: Alexandria via LeMat-Bulk
Functional: PBE
Structure: optimized geometry

a b c (Å): 11.0460 10.5684 10.8630
angles (deg): 90.00 118.49 90.00
Closest atoms and distances in Å follow each position.
Space group C2/c (No. 15)
Asymmetric unit:
1 Ce 0.2500 0.2500 0.0000 (multiplicity 4)  6 Br 2.77-2.89
2 Ag 0.0000 0.1287 0.2500 (multiplicity 4)  4 Br 2.67-2.72
3 Br 0.0000 0.3170 0.7500 (multiplicity 4)  2 Ce 2.89
4 Br 0.1221 0.3028 0.1603 (multiplicity 8)  1 Ag 2.72, 1 Ce 2.77
5 Br 0.1769 0.0034 0.4799 (multiplicity 8)  1 Ag 2.67, 1 Ce 2.78

Calculated values
- Raw formation energy: -1.20 eV per atom

(3)
Compound: CsPdRu2
Source: Alexandria via LeMat-Bulk
Functional: PBE
Structure: optimized geometry

a b c (Å): 4.3229 4.3229 20.2154
angles (deg): 90.00 90.00 90.00
Closest atoms and distances in Å follow each position.
Space group I-42d (No. 122)
Asymmetric unit:
1 Cs 0.0000 0.0000 0.0000 (multiplicity 4)  4 Pd 3.06, 4 Ru 3.22
2 Pd 0.0000 0.0000 0.5000 (multiplicity 4)  4 Ru 2.79, 4 Cs 3.06
3 Ru 0.1119 0.2500 0.6250 (multiplicity 8)  2 Ru 2.37

Calculated values
- E above lowest polymorph: 0 meV per atom
- D(E_F): 3.8 states/eV/f.u.